(1)
Density functional theory data (PBE-GGA) for MnBe2SbAs after structural relaxation.

The structure in CIF format:
```
data_MnBe2SbAs
_chemical_formula_sum 'Mn1 Be2 Sb1 As1'
_space_group_name_H-M_alt 'P 1'
_space_group_IT_number 1
_cell_length_a 4.2268
_cell_length_b 4.2268
_cell_length_c 4.6099
_cell_angle_alpha 90.00
_cell_angle_beta 90.00
_cell_angle_gamma 90.00
loop_
_space_group_symop_operation_xyz
'x,y,z'
loop_
_atom_site_label
_atom_site_fract_x
_atom_site_fract_y
_atom_site_fract_z
Mn1 0.0000 0.0000 0.0000
Be1 0.0000 0.5000 0.5000
Be2 0.5000 0.0000 0.5000
Sb1 0.5000 0.5000 0.0000
As1 0.0000 0.0000 0.5000
```

Output
**Energy relative to the elements, uncorrected**: 4.0 eV/f.u.
**D(E_F)**: 1.2783 states/eV per atom

(2)
Density functional theory data (PBE-GGA) for BePdPbAu after structural relaxation.

The structure in CIF format:
```
data_BePdPbAu
_chemical_formula_sum 'Be1 Pd1 Pb1 Au1'
_space_group_name_H-M_alt 'P 1'
_space_group_IT_number 1
_cell_length_a 3.1370
_cell_length_b 3.2990
_cell_length_c 7.1129
_cell_angle_alpha 90.00
_cell_angle_beta 101.21
_cell_angle_gamma 90.00
loop_
_space_group_symop_operation_xyz
'x,y,z'
loop_
_atom_site_label
_atom_site_fract_x
_atom_site_fract_y
_atom_site_fract_z
Be1 0.0000 0.0000 0.0000
Pd1 0.4512 0.5000 0.8870
Pb1 0.7952 0.0000 0.5739
Au1 0.1165 0.5000 0.2405
```

Output
**Offset from the most stable computed form**: 1.4 kJ/mol of atoms
**Formation enthalpy at 0 K**: -0.6 eV/f.u.
**D(E_F)**: 0.2427 states/eV per atom

(3)
Density functional theory data (PBE-GGA) for BaAgTe3 after structural relaxation.

The structure in CIF format:
```
data_BaAgTe3
_chemical_formula_sum 'Ba1 Ag1 Te3'
_space_group_name_H-M_alt 'P 1'
_space_group_IT_number 1
_cell_length_a 6.5676
_cell_length_b 6.5676
_cell_length_c 6.5676
_cell_angle_alpha 90.00
_cell_angle_beta 90.00
_cell_angle_gamma 90.00
loop_
_space_group_symop_operation_xyz
'x,y,z'
loop_
_atom_site_label
_atom_site_fract_x
_atom_site_fract_y
_atom_site_fract_z
Ba1 0.0000 0.0000 0.0000
Ag1 0.5000 0.5000 0.5000
Te1 0.0000 0.0000 0.5000
Te2 0.0000 0.5000 0.0000
Te3 0.5000 0.0000 0.0000
```

Output
**Energy relative to the elements, uncorrected**: 2.3 eV/f.u.
**Offset from the most stable computed form**: 92.4 kJ/mol of atoms
**D(E_F)**: 0.4231 states/eV per atom

(4)
Density functional theory data (PBE-GGA) for AsWCl2 after structural relaxation.

The structure in CIF format:
```
data_AsWCl2
_chemical_formula_sum 'As1 W1 Cl2'
_space_group_name_H-M_alt 'P 1'
_space_group_IT_number 1
_cell_length_a 4.8650
_cell_length_b 4.8650
_cell_length_c 7.4843
_cell_angle_alpha 108.31
_cell_angle_beta 108.31
_cell_angle_gamma 37.50
loop_
_space_group_symop_operation_xyz
'x,y,z'
loop_
_atom_site_label
_atom_site_fract_x
_atom_site_fract_y
_atom_site_fract_z
As1 0.0000 0.0000 0.0000
W1 0.7123 0.7123 0.0000
Cl1 0.1843 0.1843 0.7297
Cl2 0.3300 0.3300 0.2703
```

Output
**Energy relative to the elements, uncorrected**: -1.0 eV/f.u.
**Offset from the most stable computed form**: 0.0 kJ/mol of atoms
**D(E_F)**: 0.5530 states/eV per atom

(5)
Density functional theory data (PBE-GGA) for CaMg2Ga4 after structural relaxation.

The structure in CIF format:
```
data_CaMg2Ga4
_chemical_formula_sum 'Ca1 Mg2 Ga4'
_space_group_name_H-M_alt 'P 1'
_space_group_IT_number 1
_cell_length_a 5.7910
_cell_length_b 5.7910
_cell_length_c 5.7910
_cell_angle_alpha 103.80
_cell_angle_beta 103.80
_cell_angle_gamma 121.52
loop_
_space_group_symop_operation_xyz
'x,y,z'
loop_
_atom_site_label
_atom_site_fract_x
_atom_site_fract_y
_atom_site_fract_z
Ca1 0.0000 0.0000 0.0000
Mg1 0.2500 0.7500 0.5000
Mg2 0.7500 0.2500 0.5000
Ga1 0.3068 0.3068 0.6136
Ga2 0.3068 0.6932 0.0000
Ga3 0.6932 0.3068 0.0000
Ga4 0.6932 0.6932 0.3864
```

Output
**Offset from the most stable computed form**: 3.4 kJ/mol of atoms
**Formation enthalpy at 0 K**: -1.7 eV/f.u.
**D(E_F)**: 0.6058 states/eV per atom

(6)
Density functional theory data (PBE-GGA) for RbZrI2 after structural relaxation.

The structure in CIF format:
```
data_RbZrI2
_chemical_formula_sum 'Rb1 Zr1 I2'
_space_group_name_H-M_alt 'P 1'
_space_group_IT_number 1
_cell_length_a 5.7485
_cell_length_b 5.7485
_cell_length_c 5.7485
_cell_angle_alpha 60.00
_cell_angle_beta 60.00
_cell_angle_gamma 60.00
loop_
_space_group_symop_operation_xyz
'x,y,z'
loop_
_atom_site_label
_atom_site_fract_x
_atom_site_fract_y
_atom_site_fract_z
Rb1 0.0000 0.0000 0.0000
Zr1 0.5000 0.5000 0.5000
I1 0.2500 0.2500 0.2500
I2 0.7500 0.7500 0.7500
```

Output
**Energy relative to the elements, uncorrected**: -0.7 eV/f.u.
**Offset from the most stable computed form**: 13.0 kJ/mol of atoms
**D(E_F)**: 0.8049 states/eV per atom

(7)
Density functional theory data (PBE-GGA) for HfZnGaPt after structural relaxation.

The structure in CIF format:
```
data_HfZnGaPt
_chemical_formula_sum 'Hf1 Zn1 Ga1 Pt1'
_space_group_name_H-M_alt 'P 1'
_space_group_IT_number 1
_cell_length_a 3.1508
_cell_length_b 3.1508
_cell_length_c 6.6787
_cell_angle_alpha 90.00
_cell_angle_beta 90.00
_cell_angle_gamma 90.17
loop_
_space_group_symop_operation_xyz
'x,y,z'
loop_
_atom_site_label
_atom_site_fract_x
_atom_site_fract_y
_atom_site_fract_z
Hf1 0.0000 0.0000 0.0000
Zn1 0.5000 0.5000 0.2790
Ga1 0.5000 0.5000 0.7209
Pt1 0.0000 0.0000 0.5057
```

Output
**Formation enthalpy at 0 K**: -1.8 eV/f.u.
**D(E_F)**: 0.5949 states/eV per atom

(8)
Density functional theory data (PBE-GGA) for Ta4MnTc after structural relaxation.

The structure in CIF format:
```
data_Ta4MnTc
_chemical_formula_sum 'Ta4 Mn1 Tc1'
_space_group_name_H-M_alt 'P 1'
_space_group_IT_number 1
_cell_length_a 5.3500
_cell_length_b 5.3500
_cell_length_c 5.3500
_cell_angle_alpha 60.00
_cell_angle_beta 60.00
_cell_angle_gamma 60.00
loop_
_space_group_symop_operation_xyz
'x,y,z'
loop_
_atom_site_label
_atom_site_fract_x
_atom_site_fract_y
_atom_site_fract_z
Ta1 0.3756 0.3756 0.3756
Ta2 0.3756 0.3756 0.8732
Ta3 0.3756 0.8732 0.3756
Ta4 0.8732 0.3756 0.3756
Mn1 0.0000 0.0000 0.0000
Tc1 0.7500 0.7500 0.7500
```

Output
**Formation enthalpy at 0 K**: 2.8 eV/f.u.
**D(E_F)**: 0.6475 states/eV per atom